The following is a DFT calculation (PBE-GGA) of NbCoReI after structural relaxation.

```
NbCoReI
1.0
-5.600 1.462 -3.563
-1.580 -2.693 1.378
-2.180 4.143 5.595
Nb I Co Re
2 2 2 2
direct
0.604 0.500 0.888 Nb
0.604 0.000 0.388 Nb
0.302 0.500 0.559 I
0.302 0.000 0.059 I
0.927 0.000 0.001 Co
0.927 0.500 0.501 Co
0.816 0.000 0.703 Re
0.816 0.500 0.203 Re
```

Results
ΔE_f (raw): 0.532 eV/atom
total energy: -7.262 eV per atom
ΔE to the lowest computed polymorph: 55 meV/atom